## PaFeAsO6 (GGA+U)

Data for an optimized crystal structure of PaFeAsO6.

Output
size of the total moment = 4.00 μB per formula unit
final energy = -133.85 eV per cell

Cell: 5.3676 5.3676 8.8278 Å, 90.00 90.00 120.00°
Closest atoms and distances in Å follow each position.
Fractional coordinates of all 18 atoms:
Pa 0.3333 0.6667 0.2500  6 O 2.20
Pa 0.6667 0.3333 0.7500  6 O 2.20
Fe 0.0000 0.0000 0.0000  6 O 2.19
Fe 0.0000 0.0000 0.5000  6 O 2.19
As 0.3333 0.6667 0.7500  6 O 1.90
As 0.6667 0.3333 0.2500  6 O 1.90
O 0.0422 0.3654 0.6315  1 As 1.90
O 0.0422 0.6768 0.8685  1 As 1.90
O 0.3232 0.3654 0.8685  1 As 1.90
O 0.3232 0.9578 0.6315  1 As 1.90
O 0.3654 0.0422 0.1315  1 As 1.90
O 0.3654 0.3232 0.3685  1 As 1.90
O 0.6346 0.6768 0.6315  1 As 1.90
O 0.6346 0.9578 0.8685  1 As 1.90
O 0.6768 0.0422 0.3685  1 As 1.90
O 0.6768 0.6346 0.1315  1 As 1.90
O 0.9578 0.3232 0.1315  1 As 1.90
O 0.9578 0.6346 0.3685  1 As 1.90